Record 1
Computed, not measured: a geometry-optimized ThIn4Pd7 structure at the PBE-GGA level of DFT.

Calculated values
For the uncorrected energy, the calculation gives -5.0202 eV/atom.

abc: 6.161 6.161 9.909
angles: 119.26 119.26 49.15
Positions (direct):
Th: 0.000 0.000 0.000
In: 0.256 0.256 0.662
In: 0.411 0.411 0.228
In: 0.589 0.589 0.772
In: 0.744 0.744 0.338
Pd: 0.064 0.064 0.328
Pd: 0.219 0.219 0.908
Pd: 0.357 0.357 0.465
Pd: 0.500 0.500 0.000
Pd: 0.643 0.643 0.535
Pd: 0.781 0.781 0.092
Pd: 0.936 0.936 0.672

---

Record 2
Computed, not measured: a geometry-optimized Pm4HoEr2Tm structure at the PBE-GGA level of DFT.

Calculated values
For the uncorrected energy, the calculation gives -4.6309 eV/atom.

abc: 5.076 5.099 9.990
angles: 90.00 90.00 90.00
Positions (direct):
Pm: 0.000 0.000 0.249
Pm: 0.000 0.000 0.751
Pm: 0.500 0.500 0.249
Pm: 0.500 0.500 0.751
Ho: 0.000 0.500 0.500
Er: 0.000 0.500 0.000
Er: 0.500 0.000 0.500
Tm: 0.500 0.000 0.000

---

Record 3
Computed, not measured: a geometry-optimized LaNdAs2O8 structure at the PBE-GGA level of DFT.

Calculated values
As for the formation energy from raw total energies: -2338 meV/atom.

abc: 6.978 6.978 6.978
angles: 136.21 136.21 63.65
Positions (direct):
La: 0.000 0.000 0.000
Nd: 0.250 0.750 0.500
As: 0.500 0.500 0.000
As: 0.750 0.250 0.500
O: 0.289 0.669 0.115
O: 0.331 0.445 0.620
O: 0.427 0.035 0.115
O: 0.555 0.175 0.885
O: 0.688 0.573 0.608
O: 0.825 0.711 0.380
O: 0.920 0.312 0.885
O: 0.965 0.080 0.392